# 1
VASP calculation (GGA-PBE) on a relaxed ScCdTc2 crystal.

a b c (Å): 4.5757 4.5757 4.5757
angles (deg): 60.00 60.00 60.00
Closest atoms and distances in Å follow each position.
Atoms (fractional coordinates):
1 Tc 0.2500 0.2500 0.2500  4 Tc 2.80, 4 Sc 2.80
2 Tc 0.5000 0.5000 0.5000  4 Tc 2.80, 4 Cd 2.80
3 Cd 0.7500 0.7500 0.7500  4 Tc 2.80, 4 Sc 2.80
4 Sc 0.0000 0.0000 0.0000  4 Cd 2.80, 4 Tc 2.80

Summary:
Its space-group type is F-43m, No. 216. For the formation energy, the calculation gives 88 meV/atom. The value obtained for the total energy is -6.90 eV per atom.



# 2
VASP calculation (GGA-PBE) on a relaxed Sc2TlCd crystal.

a b c (Å): 5.0243 7.1049 15.0729
angles (deg): 90.00 90.00 90.00
Closest atoms and distances in Å follow each position.
Atoms (fractional coordinates):
1 Cd 0.5003 0.0000 0.1667  8 Sc 3.07-3.08
2 Cd 0.0000 0.5000 0.0000  8 Sc 3.08
3 Sc 0.4997 0.2501 0.3333  4 Cd 3.07-3.08, 4 Tl 3.08
4 Sc 0.4997 0.7499 0.3333  4 Cd 3.07-3.08, 4 Tl 3.08
5 Sc 0.9997 0.2499 0.1667  4 Cd 3.07-3.08, 4 Tl 3.08
6 Cd 0.9997 0.5000 0.6667  8 Sc 3.07-3.08
7 Tl 0.4997 0.5000 0.1666  8 Sc 3.08
8 Sc 0.0003 0.2499 0.8333  4 Cd 3.07-3.08, 4 Tl 3.08
9 Tl 0.0000 0.0000 0.0000  8 Sc 3.08
10 Sc 0.9997 0.7501 0.1667  4 Cd 3.07-3.08, 4 Tl 3.08
11 Cd 0.0003 0.5000 0.3333  8 Sc 3.07-3.08
12 Cd 0.4997 0.0000 0.8333  8 Sc 3.07-3.08
13 Tl 0.0003 0.0000 0.6666  8 Sc 3.08
14 Sc 0.5000 0.7500 0.0000  4 Tl 3.08, 4 Cd 3.08
15 Sc 0.0000 0.2500 0.5000  4 Tl 3.08, 4 Cd 3.08
16 Sc 0.0000 0.7500 0.5000  4 Tl 3.08, 4 Cd 3.08
17 Sc 0.5003 0.7499 0.6667  4 Cd 3.07-3.08, 4 Tl 3.08
18 Tl 0.9997 0.0000 0.3334  8 Sc 3.08
19 Sc 0.0003 0.7501 0.8333  4 Cd 3.07-3.08, 4 Tl 3.08
20 Cd 0.5000 0.0000 0.5000  8 Sc 3.08
21 Sc 0.5003 0.2501 0.6667  4 Cd 3.07-3.08, 4 Tl 3.08
22 Tl 0.5003 0.5000 0.8334  8 Sc 3.08
23 Tl 0.5000 0.5000 0.5000  8 Sc 3.08
24 Sc 0.5000 0.2500 0.0000  4 Tl 3.08, 4 Cd 3.08

Summary:
Its space-group type is Fm-3m, No. 225. The value obtained for the total energy is -4.28 eV per atom.



# 3
VASP calculation (GGA-PBE) on a relaxed Sc2TlCd crystal.

a b c (Å): 4.9713 4.9713 9.4819
angles (deg): 90.00 90.00 120.00
Closest atoms and distances in Å follow each position.
Atoms (fractional coordinates):
1 Cd 0.0000 0.0000 0.5000  6 Sc 2.98
2 Sc 0.3333 0.6667 0.5856  3 Cd 2.98, 4 Sc 3.12-3.30, 4 Tl 3.18-3.27
3 Sc 0.3333 0.6667 0.9144  3 Cd 2.98, 4 Sc 3.12-3.30, 4 Tl 3.18-3.27
4 Cd 0.0000 0.0000 0.0000  6 Sc 2.98
5 Tl 0.6667 0.3333 0.7500  8 Sc 3.18-3.27
6 Sc 0.6667 0.3333 0.4144  3 Cd 2.98, 4 Sc 3.12-3.30, 4 Tl 3.18-3.27
7 Tl 0.3333 0.6667 0.2500  8 Sc 3.18-3.27
8 Sc 0.6667 0.3333 0.0856  3 Cd 2.98, 4 Sc 3.12-3.30, 4 Tl 3.18-3.27

Summary:
Its space-group type is P6_3/mmc, No. 194. The value obtained for the total energy is -3.98 eV per atom.